# YLuZnFe PBE-GGA optimized geometry
# * calculated formation energy: -0.089 eV per atom
# * DFT total energy: -5.27 eV per atom
# * spin magnetization: 4.643 μB per cell
data_YLuZnFe
_cell_length_a 6.866
_cell_length_b 6.866
_cell_length_c 6.866
_cell_angle_alpha 90.00
_cell_angle_beta 90.00
_cell_angle_gamma 90.00
_space_group_name_H-M_alt 'F -4 3 m'
_space_group_IT_number 216
_space_group_name_Hall 'F -4 2 3'
loop_
_atom_site_label
_atom_site_type_symbol
_atom_site_fract_x
_atom_site_fract_y
_atom_site_fract_z
_atom_site_occupancy
Y1 Y 0.000 0.000 0.000 1
Lu1 Lu 0.000 0.000 0.500 1
Zn1 Zn 0.250 0.250 0.750 1
Fe1 Fe 0.250 0.250 0.250 1